Below is crystalline CdFePbAu at its relaxed geometry, with properties calculated at the PBE level.

Properties
Space group: F-43m
Relative energy among the computed polymorphs in eV/atom: 0.000

Cell lengths 4.8307, 4.8307, 4.8307 Å; angles 60.00, 60.00, 60.00 degrees
Closest atoms and distances in Å follow each position.
Fractional positions:
Au1 0.2500 0.2500 0.2500  4 Cd 2.96, 4 Pb 2.96
Pb1 0.0000 0.0000 0.0000  4 Fe 2.96, 4 Au 2.96
Fe1 0.7500 0.7500 0.7500  4 Cd 2.96, 4 Pb 2.96
Cd1 0.5000 0.5000 0.5000  4 Fe 2.96, 4 Au 2.96

***

Below is crystalline LuInFeS3 at its relaxed geometry, with properties calculated at the PBE level.

Properties
Space group: Pnma
Relative energy among the computed polymorphs in eV/atom: 0.000

Cell lengths 14.5248, 3.8192, 10.4320 Å; angles 90.00, 90.00, 90.00 degrees
Closest atoms and distances in Å follow each position.
Fractional positions:
In1 0.7554 0.7500 0.4644  4 S 3.02-3.36
In2 0.7446 0.2500 0.9644  4 S 3.02-3.36
In3 0.2554 0.7500 0.0356  4 S 3.02-3.36
In4 0.2446 0.2500 0.5356  4 S 3.02-3.36
S1 0.9196 0.2500 0.6159  3 Fe 2.32-2.35
S2 0.5804 0.7500 0.1159  3 Fe 2.32-2.35
S3 0.9041 0.7500 0.9289  3 Lu 2.65-2.68
S4 0.0804 0.7500 0.3841  3 Fe 2.32-2.35
S5 0.4196 0.2500 0.8841  3 Fe 2.32-2.35
S6 0.0959 0.2500 0.0711  3 Lu 2.65-2.68
S7 0.3760 0.2500 0.2404  1 Fe 2.30
S8 0.6240 0.7500 0.7596  1 Fe 2.30
S9 0.8760 0.2500 0.2596  1 Fe 2.30
S10 0.5959 0.2500 0.4289  3 Lu 2.65-2.68
S11 0.1240 0.7500 0.7404  1 Fe 2.30
S12 0.4041 0.7500 0.5711  3 Lu 2.65-2.68
Fe1 0.9885 0.2500 0.4153  4 S 2.30-2.35
Fe2 0.4885 0.2500 0.0847  4 S 2.30-2.35
Fe3 0.0115 0.7500 0.5847  4 S 2.30-2.35
Fe4 0.5115 0.7500 0.9153  4 S 2.30-2.35
Lu1 0.9823 0.7500 0.1585  6 S 2.65-2.75
Lu2 0.0177 0.2500 0.8415  6 S 2.65-2.75
Lu3 0.5177 0.2500 0.6585  6 S 2.65-2.75
Lu4 0.4823 0.7500 0.3415  6 S 2.65-2.75

***

Below is crystalline BaNaGdTe3 at its relaxed geometry, with properties calculated at the PBE level.

Properties
VASP energy in eV per atom: -4.25
Space group: Pnma

Cell lengths 11.6394, 4.6764, 15.2327 Å; angles 90.00, 90.00, 90.00 degrees
Closest atoms and distances in Å follow each position.
Fractional positions:
Na1 0.7567 0.2500 0.7247  4 Te 2.88-2.93
Na2 0.7433 0.7500 0.2247  4 Te 2.88-2.93
Na3 0.2567 0.2500 0.7753  4 Te 2.88-2.93
Na4 0.2433 0.7500 0.2753  4 Te 2.88-2.93
Te1 0.5399 0.7500 0.1126  1 Na 2.92, 2 Gd 3.20
Te2 0.9601 0.2500 0.6126  1 Na 2.92, 2 Gd 3.20
Te3 0.7569 0.7500 0.8352  2 Na 2.88, 2 Gd 3.18-3.19
Te4 0.7432 0.2500 0.3352  2 Na 2.88, 2 Gd 3.18-3.19
Te5 0.4601 0.2500 0.8874  1 Na 2.92, 2 Gd 3.20
Te6 0.9466 0.7500 0.1111  1 Na 2.93, 2 Gd 3.19
Te7 0.0399 0.7500 0.3874  1 Na 2.92, 2 Gd 3.20
Te8 0.2432 0.2500 0.1648  2 Na 2.88, 2 Gd 3.18-3.19
Te9 0.0534 0.2500 0.8889  1 Na 2.93, 2 Gd 3.19
Te10 0.5534 0.2500 0.6111  1 Na 2.93, 2 Gd 3.19
Te11 0.2568 0.7500 0.6648  2 Na 2.88, 2 Gd 3.18-3.19
Te12 0.4466 0.7500 0.3889  1 Na 2.93, 2 Gd 3.19
Ba1 0.7550 0.7500 0.5032  7 Te 3.47-3.76
Ba2 0.2550 0.7500 0.9968  7 Te 3.47-3.76
Ba3 0.2450 0.2500 0.4968  7 Te 3.47-3.76
Ba4 0.7450 0.2500 0.0032  7 Te 3.47-3.76
Gd1 0.4925 0.2500 0.2510  6 Te 3.18-3.20
Gd2 0.0075 0.7500 0.7510  6 Te 3.18-3.20
Gd3 0.9925 0.2500 0.2490  6 Te 3.18-3.20
Gd4 0.5075 0.7500 0.7490  6 Te 3.18-3.20

***

Below is crystalline ErTmTl at its relaxed geometry, with properties calculated at the PBE level.

Properties
Space group: F-43m
Relative energy among the computed polymorphs in eV/atom: 0.000

Cell lengths 5.1028, 5.1028, 5.1028 Å; angles 60.00, 60.00, 60.00 degrees
Closest atoms and distances in Å follow each position.
Fractional positions:
Tm1 0.7500 0.7500 0.7500  4 Tl 3.12
Er1 0.2500 0.2500 0.2500  4 Tl 3.12
Tl1 0.0000 0.0000 0.0000  4 Tm 3.12, 4 Er 3.12

***

Below is crystalline POsPbO at its relaxed geometry, with properties calculated at the PBE level.

Properties
Space group: P4/nmm
Relative energy among the computed polymorphs in eV/atom: 0.000

Cell lengths 4.0207, 4.0207, 9.8774 Å; angles 90.00, 90.00, 90.00 degrees
Closest atoms and distances in Å follow each position.
Fractional positions:
Pb1 0.0000 0.5000 0.1216  4 O 2.34
Pb2 0.5000 0.0000 0.8784  4 O 2.34
O1 0.5000 0.5000 0.0000  4 Pb 2.34
O2 0.0000 0.0000 0.0000  4 Pb 2.34
Os1 0.5000 0.5000 0.5000  4 P 2.33
Os2 0.0000 0.0000 0.5000  4 P 2.33
P1 0.5000 0.0000 0.3815  4 Os 2.33
P2 0.0000 0.5000 0.6185  4 Os 2.33

***

Below is crystalline HfCuHgPb at its relaxed geometry, with properties calculated at the PBE level.

Properties
Space group: F-43m
Relative energy among the computed polymorphs in eV/atom: 0.000

Cell lengths 4.9096, 4.9096, 4.9096 Å; angles 60.00, 60.00, 60.00 degrees
Closest atoms and distances in Å follow each position.
Fractional positions:
Hf1 0.2500 0.2500 0.2500  4 Hg 3.01, 4 Pb 3.01
Pb1 0.0000 0.0000 0.0000  4 Cu 3.01, 4 Hf 3.01
Cu1 0.7500 0.7500 0.7500  4 Hg 3.01, 4 Pb 3.01
Hg1 0.5000 0.5000 0.5000  4 Cu 3.01, 4 Hf 3.01

***

Below is crystalline AcDyEr at its relaxed geometry, with properties calculated at the PBE level.

Properties
Formation energy in eV per atom: 0.68
Space group: F-43m
Relative energy among the computed polymorphs in eV/atom: 0.000

Cell lengths 5.6173, 5.6173, 5.6173 Å; angles 60.00, 60.00, 60.00 degrees
Closest atoms and distances in Å follow each position.
Fractional positions:
Dy1 0.7500 0.7500 0.7500  4 Er 3.44
Er1 0.0000 0.0000 0.0000  4 Dy 3.44, 4 Ac 3.44
Ac1 0.2500 0.2500 0.2500  4 Er 3.44

***

Below is crystalline HfGe2Te at its relaxed geometry, with properties calculated at the PBE level.

Properties
VASP energy in eV per atom: -5.42
Space group: F-43m

Cell lengths 4.9660, 4.9660, 4.9660 Å; angles 60.00, 60.00, 60.00 degrees
Closest atoms and distances in Å follow each position.
Fractional positions:
Ge1 0.7500 0.7500 0.7500  4 Te 3.04, 4 Ge 3.04
Ge2 0.0000 0.0000 0.0000  4 Ge 3.04, 4 Hf 3.04
Te1 0.5000 0.5000 0.5000  4 Ge 3.04, 4 Hf 3.04
Hf1 0.2500 0.2500 0.2500  4 Te 3.04, 4 Ge 3.04